Entry 1:
VASP calculation (PBE) on crystalline MgRe2Ni at its relaxed geometry.

a = 4.3565 Å, b = 2.6391 Å, c = 5.1233 Å
α = 81.76°, β = 90.00°, γ = 90.00°
Closest atoms and distances in Å follow each position.
Atoms (fractional coordinates):
Mg1 0.0000 0.5310 0.5192  2 Ni 2.51, 2 Mg 2.64, 4 Re 2.70-2.80
Re1 0.0000 0.0203 0.0156  4 Re 2.55-2.64, 2 Mg 2.70-2.71, 2 Ni 2.80
Ni1 0.5000 0.7119 0.7326  2 Mg 2.51, 2 Ni 2.64, 4 Re 2.69-2.80
Re2 0.5000 0.2368 0.2325  4 Re 2.55-2.64, 2 Ni 2.69-2.73, 2 Mg 2.80

Computed properties:
- VASP energy (eV per atom) = -7.89
- formation enthalpy at 0 K (kJ per mole of atoms) = 17.6
- M_tot (μB per formula unit) = 0.00
- space-group type = Pm

Entry 2:
VASP calculation (PBE) on crystalline MgRe2Ni at its relaxed geometry.

a = 4.9899 Å, b = 4.9899 Å, c = 2.6287 Å
α = 90.00°, β = 90.00°, γ = 118.03°
Closest atoms and distances in Å follow each position.
Atoms (fractional coordinates):
Mg1 0.5000 0.0000 0.5000  2 Ni 2.57, 2 Mg 2.63, 8 Re 2.82
Ni1 0.0000 0.5000 0.5000  2 Mg 2.57, 2 Ni 2.63, 8 Re 2.82
Re1 0.5000 0.5000 0.0000  4 Re 2.57-2.63, 4 Mg 2.82, 4 Ni 2.82
Re2 0.0000 0.0000 0.0000  4 Re 2.57-2.63, 4 Ni 2.82, 4 Mg 2.82

Computed properties:
- VASP energy (eV per atom) = -7.77
- formation enthalpy at 0 K (kJ per mole of atoms) = 28.5
- M_tot (μB per formula unit) = 0.00
- space-group type = Cmmm

Entry 3:
VASP calculation (PBE) on crystalline MgRe2Ni at its relaxed geometry.

a = 3.0731 Å, b = 3.0731 Å, c = 6.2240 Å
α = 90.00°, β = 90.00°, γ = 90.00°
Closest atoms and distances in Å follow each position.
Atoms (fractional coordinates):
Ni1 0.5000 0.5000 0.7504  4 Mg 2.61, 4 Re 2.68
Re1 0.0000 0.0000 0.0032  4 Re 2.58, 4 Ni 2.68
Mg1 0.0000 0.0000 0.5193  4 Ni 2.61, 4 Re 2.83
Re2 0.5000 0.5000 0.2271  4 Re 2.58, 4 Mg 2.83

Computed properties:
- VASP energy (eV per atom) = -7.93
- formation enthalpy at 0 K (kJ per mole of atoms) = 13.2
- M_tot (μB per formula unit) = 0.00
- space-group type = P4mm

Entry 4:
VASP calculation (PBE) on crystalline Mg2ReNi at its relaxed geometry.

a = 4.9396 Å, b = 4.9396 Å, c = 4.9396 Å
α = 134.36°, β = 134.36°, γ = 66.52°
Closest atoms and distances in Å follow each position.
Atoms (fractional coordinates):
Ni1 0.2500 0.7500 0.5000  4 Re 2.71, 8 Mg 2.82
Mg1 0.0000 0.0000 0.0000  4 Mg 2.71, 4 Ni 2.82, 4 Re 2.82
Re1 0.7500 0.2500 0.5000  4 Ni 2.71, 8 Mg 2.82
Mg2 0.5000 0.5000 0.0000  4 Mg 2.71, 4 Re 2.82, 4 Ni 2.82

Computed properties:
- offset from the most stable computed form (eV/atom) = 0.289
- VASP energy (eV per atom) = -4.97
- formation enthalpy at 0 K (kJ per mole of atoms) = 37.2
- M_tot (μB per formula unit) = 0.90
- space-group type = I4/mmm